# 1
Here is a geometry-optimized Tb2Er5Th structure from Alexandria. Energies are from PBE-GGA.

Values from the calculation:
**Calculated total energy**: -4.921 eV/atom
**Calculated formation energy**: 0.02 eV per atom
**Energy above the most stable polymorph in this dataset**: 0.000 eV/atom
**Crystal system**: orthorhombic
**Total magnetization**: 0.000 μB per formula unit

Lattice parameters (Å, degrees): 7.1636 11.3283 12.4249 90.00 90.00 90.00
Last column: nearest neighbours and their distance in Å.
Space group Fmm2 (No. 42)
Unique sites:
Tb 0.0000 0.2490 0.0000  1 Th 3.48, 9 Er 3.50-3.61, 2 Tb 3.58
Er 0.0000 0.0000 0.6655  8 Er 3.50-3.60, 2 Tb 3.51, 2 Th 3.58
Er 0.2495 0.0000 0.9147  4 Tb 3.50-3.53, 6 Er 3.51-3.60, 2 Th 3.58-3.59
Er 0.2500 0.2500 0.2473  6 Er 3.50-3.58, 2 Th 3.51, 4 Tb 3.56-3.61
Th 0.0000 0.0000 0.1643  2 Tb 3.48, 10 Er 3.51-3.59

---

# 2
Here is a geometry-optimized Ac2OsRhO6 structure from Alexandria. Energies are from PBE-GGA.

Values from the calculation:
**Calculated total energy**: -7.508 eV/atom
**Formation energy without anion corrections**: -1853 meV/atom
**Crystal system**: trigonal
**Total magnetization**: 1.003 μB per formula unit

Lattice parameters (Å, degrees): 5.6828 5.6828 29.6378 90.00 90.00 120.00
Last column: nearest neighbours and their distance in Å.
Space group R-3m (No. 166, hexagonal axes)
Unique sites:
Ac 0.0000 0.0000 0.1232  9 O 2.66-2.84
Ac 0.0000 0.0000 0.2778  9 O 2.59-2.86
Os 0.0000 0.0000 0.0000  6 O 2.04
Os 0.0000 0.0000 0.5000  6 O 2.09
Rh 0.0000 0.0000 0.4103  6 O 2.02-2.14
O 0.0005 0.5003 0.8770  1 Os 2.09, 1 Rh 2.14
O 0.0375 0.5188 0.7148  1 Rh 2.02, 1 Os 2.04

---

# 3
Here is a geometry-optimized Cd2SnSeO structure from Alexandria. Energies are from PBE-GGA.

Values from the calculation:
**Calculated total energy**: -2.986 eV/atom
**Formation energy without anion corrections**: -131 meV/atom
**Crystal system**: tetragonal
**Total magnetization**: 0.000 μB per formula unit

Lattice parameters (Å, degrees): 4.3481 4.3481 6.4557 90.00 90.00 90.00
Last column: nearest neighbours and their distance in Å.
Space group P4/mmm (No. 123)
Unique sites:
Cd 0.0000 0.5000 0.0000  2 O 2.17
Sn 0.0000 0.0000 0.5000  4 Se 3.07
Se 0.5000 0.5000 0.5000  4 Sn 3.07, 2 O 3.23
O 0.5000 0.5000 0.0000  4 Cd 2.17

---

# 4
Here is a geometry-optimized Rb4Ac3LaS8 structure from Alexandria. Energies are from PBE-GGA.

Values from the calculation:
**Calculated total energy**: -5.264 eV/atom
**Formation energy without anion corrections**: -1881 meV/atom
**Crystal system**: trigonal
**Total magnetization**: 0.000 μB per formula unit

Lattice parameters (Å, degrees): 8.8590 8.8590 23.1733 90.00 90.00 120.00
Last column: nearest neighbours and their distance in Å.
Space group R-3m (No. 166, hexagonal axes)
Unique sites:
Rb 0.0000 0.0000 0.0000  6 S 3.49
Rb 0.0000 0.5000 0.0000  6 S 3.43
Ac 0.0000 0.5000 0.5000  6 S 3.01
La 0.0000 0.0000 0.5000  6 S 2.95
S 0.0000 0.0000 0.2348  3 Ac 3.01
S 0.0066 0.5033 0.2335  1 La 2.95, 2 Ac 3.01